Compound: AcGd2Pb
Source: Alexandria
Functional: PBE
Structure: relaxed

## Properties
total magnetic moment = 15.2 μB/f.u.
density of states at the Fermi level = 4.66 states/eV/cell
energy of formation from the pure elements = -107 kJ/mol of formula units
ρ = 9.59 g/cm³

Cell: 5.005 5.089 5.089 Å, 90.00 90.00 90.00°
Site moments in Bohr magnetons follow the coordinates.
Element x y z (fractional)
Pb 0.500 0.000 0.000  -0.04
Ac 0.500 0.500 0.500  0.07
Gd 0.000 0.000 0.500  7.24
Gd 0.000 0.500 0.000  7.24